Entry P
Entry from the Alexandria database: a relaxed structure of Te2PbBr (PBEsol). Values from VASP.

Cell and atoms, written as Quantum ESPRESSO input:
```
&SYSTEM
  ibrav = 0, nat = 4, ntyp = 3
/
ATOMIC_SPECIES
Te 127.60 Te.upf
Pb 207.20 Pb.upf
Br 79.90 Br.upf
CELL_PARAMETERS angstrom
2.974 -5.919 0.000
2.974 5.919 0.000
-0.520 0.000 3.256
ATOMIC_POSITIONS crystal
Te 0.000 0.500 0.000
Te 0.500 0.000 0.000
Pb 0.000 0.000 0.500
Br 0.500 0.500 0.500
```



Entry Q
Entry from the Alexandria database: a relaxed structure of Te2PbBr (PBEsol). Values from VASP.

Cell and atoms, written as Quantum ESPRESSO input:
```
&SYSTEM
  ibrav = 0, nat = 4, ntyp = 3
/
ATOMIC_SPECIES
Te 127.60 Te.upf
Pb 207.20 Pb.upf
Br 79.90 Br.upf
CELL_PARAMETERS angstrom
-1.941 2.415 6.233
1.941 -2.415 6.233
1.941 2.415 -6.233
ATOMIC_POSITIONS crystal
Te 0.233 0.233 0.000
Te 0.767 0.767 0.000
Pb 0.000 0.500 0.500
Br 0.500 0.000 0.500
```



Entry R
Entry from the Alexandria database: a relaxed structure of Te2PbBr (PBEsol). Values from VASP.

Cell and atoms, written as Quantum ESPRESSO input:
```
&SYSTEM
  ibrav = 0, nat = 4, ntyp = 3
/
ATOMIC_SPECIES
Te 127.60 Te.upf
Pb 207.20 Pb.upf
Br 79.90 Br.upf
CELL_PARAMETERS angstrom
4.270 0.000 0.000
0.000 4.360 0.000
0.000 0.000 7.866
ATOMIC_POSITIONS crystal
Te 0.000 0.000 0.000
Te 0.500 0.500 0.033
Pb 0.000 0.000 0.620
Br 0.500 0.500 0.557
```



Entry S
Entry from the Alexandria database: a relaxed structure of Te2PbBr (PBEsol). Values from VASP.

Cell and atoms, written as Quantum ESPRESSO input:
```
&SYSTEM
  ibrav = 0, nat = 8, ntyp = 3
/
ATOMIC_SPECIES
Te 127.60 Te.upf
Pb 207.20 Pb.upf
Br 79.90 Br.upf
CELL_PARAMETERS angstrom
-4.889 4.889 2.831
4.889 -4.889 2.831
4.889 4.889 -2.831
ATOMIC_POSITIONS crystal
Te 0.077 0.625 0.952
Te 0.375 0.327 0.452
Te 0.673 0.125 0.048
Te 0.875 0.923 0.548
Pb 0.000 0.000 0.000
Pb 0.750 0.250 0.500
Br 0.250 0.750 0.500
Br 0.500 0.500 0.000
```



Which is more stable than every other structure shown? entry Q is more stable than every other one.